Entry from Alexandria: a PBEsol-optimized structure of MgTa2Pb (SCAN).

Cell: 2.9839 4.6825 5.6578 Å, 90.00 99.15 90.00°
Last column: nearest neighbours and their distance in Å.
Positions (direct):
Mg 0.0000 0.0000 0.0000  3 Ta 2.78-2.90, 2 Pb 2.89, 2 Mg 2.98
Ta 0.3496 0.5000 0.7866  4 Ta 2.83-2.98, 4 Mg 2.90-3.16, 2 Pb 2.91-3.06
Ta 0.5267 0.0000 0.5359  1 Mg 2.78, 4 Ta 2.83-2.98, 2 Pb 3.05
Pb 0.9150 0.5000 0.2882  2 Mg 2.89, 6 Ta 2.91-3.16, 2 Pb 2.98

Properties
Density, g/cm3: 12.626
N(E_F), states/eV per atom: 0.407
E, eV for the cell shown: -212.611

Entry from Alexandria: a PBEsol-optimized structure of MgTaPb2 (SCAN).

Cell: 3.1490 4.8847 5.8939 Å, 90.00 90.00 90.00°
Last column: nearest neighbours and their distance in Å.
Positions (direct):
Mg 0.0000 0.0000 0.0000  2 Pb 2.79-3.10
Ta 0.5000 0.5000 0.7344  6 Pb 2.85-3.15, 2 Ta 3.15
Pb 0.0000 0.0000 0.5262  2 Mg 2.79-3.10
Pb 0.5000 0.5000 0.2178  2 Ta 2.85-3.04, 2 Pb 3.15, 4 Mg 3.18

Properties
Density, g/cm3: 11.350
N(E_F), states/eV per atom: 0.369
E, eV for the cell shown: -221.645

Entry from Alexandria: a PBEsol-optimized structure of MgTa2Pb (SCAN).

Cell: 2.9424 4.5782 5.7809 Å, 90.00 90.00 90.00°
Last column: nearest neighbours and their distance in Å.
Positions (direct):
Mg 0.0000 0.0000 0.0000  2 Pb 2.89, 2 Mg 2.94, 8 Ta 3.05
Ta 0.5000 0.5000 0.2375  4 Ta 2.75-3.03, 4 Mg 3.05
Ta 0.5000 0.5000 0.7625  4 Ta 2.75-3.03, 4 Mg 3.05
Pb 0.0000 0.0000 0.5000  2 Mg 2.89, 2 Pb 2.94, 8 Ta 3.12

Properties
Density, g/cm3: 12.653
N(E_F), states/eV per atom: 0.419
E, eV for the cell shown: -212.289

Entry from Alexandria: a PBEsol-optimized structure of Mg2TcPb (SCAN).

Cell: 5.2334 5.2334 5.2334 Å, 133.76 133.76 67.46°
Last column: nearest neighbours and their distance in Å.
Positions (direct):
Mg 0.0000 0.0000 0.0000  4 Pb 2.91, 4 Tc 2.99, 4 Mg 2.99
Mg 0.7500 0.2500 0.5000  4 Tc 2.91, 4 Pb 2.99, 4 Mg 2.99
Tc 0.2500 0.7500 0.5000  8 Mg 2.91-2.99, 4 Pb 2.99
Pb 0.5000 0.5000 0.0000  8 Mg 2.91-2.99, 4 Tc 2.99

Properties
Density, g/cm3: 7.992
N(E_F), states/eV per atom: 0.280
E, eV for the cell shown: -120.437

Entry from Alexandria: a PBEsol-optimized structure of Mg2TcPb (SCAN).

Cell: 9.7798 9.7798 9.7798 Å, 18.31 18.31 18.31°
Last column: nearest neighbours and their distance in Å.
Positions (direct):
Mg 0.2391 0.2391 0.2391  3 Tc 2.75
Mg 0.7609 0.7609 0.7609  3 Tc 2.75
Tc 0.5000 0.5000 0.5000  6 Mg 2.75
Pb 0.0000 0.0000 0.0000  6 Pb 3.11, 6 Mg 3.26

Properties
Density, g/cm3: 7.289
N(E_F), states/eV per atom: 0.439
E, eV for the cell shown: -119.684

Entry from Alexandria: a PBEsol-optimized structure of Mg2TcPb (SCAN).

Cell: 2.9335 4.8712 5.3476 Å, 90.00 90.06 90.00°
Last column: nearest neighbours and their distance in Å.
Positions (direct):
Mg 0.0000 0.0000 0.0000  4 Mg 2.93, 4 Tc 2.95-3.15, 4 Pb 3.08-3.09
Mg 0.0035 0.5000 0.6957  4 Pb 2.92-3.19, 4 Mg 2.93, 4 Tc 2.99-3.00
Tc 0.5018 0.0000 0.5201  2 Pb 2.91, 2 Tc 2.93, 8 Mg 2.95-3.15
Pb 0.5018 0.5000 0.2240  2 Tc 2.91, 8 Mg 2.92-3.19, 2 Pb 2.93

Properties
Density, g/cm3: 7.689
N(E_F), states/eV per atom: 0.627
E, eV for the cell shown: -119.800

Entry from Alexandria: a PBEsol-optimized structure of MgTcPb2 (SCAN).

Cell: 7.1729 7.1729 7.1729 Å, 154.82 143.35 44.99°
Last column: nearest neighbours and their distance in Å.
Positions (direct):
Mg 0.0000 0.0000 0.0000  2 Tc 2.85, 2 Mg 3.13
Tc 0.1798 0.6798 0.5000  6 Pb 2.75-2.96, 2 Mg 2.85
Pb 0.3692 0.3692 0.0000  2 Tc 2.96, 2 Pb 3.13, 4 Mg 3.25
Pb 0.6714 0.1714 0.5000  4 Tc 2.75

Properties
Density, g/cm3: 9.535
N(E_F), states/eV per atom: 0.547
E, eV for the cell shown: -190.503

Entry from Alexandria: a PBEsol-optimized structure of MgTcPb2 (SCAN).

Cell: 4.9465 4.9465 5.4940 Å, 101.60 101.60 40.35°
Last column: nearest neighbours and their distance in Å.
Positions (direct):
Mg 0.0000 0.0000 0.0000  6 Pb 2.92-3.08, 4 Tc 3.23
Tc 0.5000 0.5000 0.5000  6 Pb 2.86-2.97
Pb 0.2376 0.2376 0.7287  3 Tc 2.86-2.97, 3 Mg 2.92-3.08, 2 Pb 3.09
Pb 0.7624 0.7624 0.2713  3 Tc 2.86-2.97, 3 Mg 2.92-3.08, 2 Pb 3.09

Properties
Density, g/cm3: 10.483
N(E_F), states/eV per atom: 0.566
E, eV for the cell shown: -190.010

Q: Look up the density of the seventh one.
A: 9.535 g/cm3

Q: Which value of density does entry 6 give?
A: 7.689 g/cm3

Q: Among the records above, which one has the lowest E?
A: MgTaPb2